The following is a PBE with a Hubbard U calculation of an optimized crystal structure of NiAs3O, from Alexandria.

Structure (POSCAR):
```
NiAs3O
1.0
-2.889 1.997 -2.836
2.390 -1.529 -3.511
-2.514 -3.748 -0.078
As O Ni
3 1 1
Direct
0.500 0.000 0.000 As
0.000 0.500 0.000 As
0.000 0.000 0.500 As
0.500 0.500 0.500 O
0.000 0.000 0.000 Ni
```

Properties
- D(E_F) (states/eV/cell) = 3.24
- VASP energy (eV per atom) = -3.291
- crystal system = cubic
- space-group type = No. 221
- energy above the lowest structure with this stoichiometry (meV/atom) = 350